(1)
{
  "formula": "BiOsRu3",
  "functional": "PBEsol",
  "state": "optimized geometry",
  "lattice_angstrom": [[-3.914, -2.000, 1.550], [2.222, -1.352, 3.867], [-1.210, 3.986, 2.089]],
  "species": ["Bi", "Os", "Ru", "Ru", "Ru"],
  "fractional_positions": [[0.500, 0.500, 0.500], [0.000, 0.000, 0.000], [0.000, 0.500, 0.000], [0.500, 0.000, 0.000], [0.000, 0.000, 0.500]],
  "magmom_total_mub_per_atom": 0.00,
  "e_tot_ev_per_atom": -7.84,
  "rho_g_cm3": 11.52,
  "delta_e_f_ev_per_atom": 1.57
}

(2)
{
  "formula": "BiTe2OsRu",
  "functional": "PBEsol",
  "state": "optimized geometry",
  "lattice_angstrom": [[-3.556, 2.680, -1.453], [-3.088, -4.094, 0.007], [-1.266, 0.963, 4.876]],
  "species": ["Bi", "Ru", "Te", "Te", "Os"],
  "fractional_positions": [[0.500, 0.500, 0.500], [0.000, 0.000, 0.000], [0.000, 0.000, 0.500], [0.000, 0.500, 0.000], [0.500, 0.000, 0.000]],
  "magmom_total_mub_per_atom": 0.00,
  "e_tot_ev_per_atom": -5.70,
  "rho_g_cm3": 10.18,
  "raw_formation_energy_ev_per_atom": 1.05
}

(3)
{
  "formula": "BiOs2S",
  "functional": "PBEsol",
  "state": "optimized geometry",
  "lattice_angstrom": [[-2.416, 0.637, 3.765], [0.657, -2.672, 3.585], [1.988, 1.645, 3.710]],
  "species": ["S", "Os", "Os", "Bi"],
  "fractional_positions": [[0.000, 0.000, 0.000], [0.250, 0.250, 0.250], [0.750, 0.750, 0.750], [0.500, 0.500, 0.500]],
  "magmom_total_mub_per_atom": 0.00,
  "e_tot_ev_per_atom": -7.20,
  "rho_g_cm3": 15.81,
  "raw_formation_energy_ev_per_atom": 1.07
}

(4)
{
  "formula": "BiOsS3",
  "functional": "PBEsol",
  "state": "optimized geometry",
  "lattice_angstrom": [[-2.106, 4.548, 0.732], [-3.878, -1.316, -2.980], [-2.486, -1.799, 4.029]],
  "species": ["S", "S", "Os", "S", "Bi"],
  "fractional_positions": [[0.500, 0.000, 0.000], [0.000, 0.000, 0.500], [0.500, 0.500, 0.500], [0.000, 0.500, 0.000], [0.000, 0.000, 0.000]],
  "magmom_total_mub_per_atom": 0.96,
  "e_tot_ev_per_atom": -4.11,
  "rho_g_cm3": 6.33,
  "raw_formation_energy_ev_per_atom": 1.82
}

(5)
{
  "formula": "BiSb3Os",
  "functional": "PBEsol",
  "state": "optimized geometry",
  "lattice_angstrom": [[-4.231, -2.753, -0.926], [2.727, -4.328, 0.411], [-1.002, -0.153, 5.031]],
  "species": ["Sb", "Bi", "Sb", "Sb", "Os"],
  "fractional_positions": [[0.500, 0.000, 0.000], [0.500, 0.500, 0.500], [0.000, 0.500, 0.000], [0.000, 0.000, 0.500], [0.000, 0.000, 0.000]],
  "magmom_total_mub_per_atom": 0.00,
  "e_tot_ev_per_atom": -5.49,
  "rho_g_cm3": 9.39,
  "raw_formation_energy_ev_per_atom": 0.54
}

(6)
{
  "formula": "ScBi2Os",
  "functional": "PBEsol",
  "state": "optimized geometry",
  "lattice_angstrom": [[-1.207, -2.076, 3.662], [-2.544, -2.675, -2.355], [9.375, -3.835, -1.701]],
  "species": ["Os", "Bi", "Bi", "Bi", "Bi", "Os", "Sc", "Sc"],
  "fractional_positions": [[0.000, 0.000, 0.000], [0.362, 0.875, 0.250], [0.125, 0.112, 0.750], [0.625, 0.638, 0.750], [0.888, 0.375, 0.250], [0.250, 0.750, 0.500], [0.500, 0.500, 0.000], [0.750, 0.250, 0.500]],
  "magmom_total_mub_per_atom": 0.00,
  "e_tot_ev_per_atom": -6.36,
  "rho_g_cm3": 11.55,
  "delta_e_f_ev_per_atom": 0.49
}

(7)
{
  "formula": "SiBi2Os2",
  "functional": "PBEsol",
  "state": "optimized geometry",
  "lattice_angstrom": [[5.252, -0.007, -0.010], [-2.351, 4.697, 0.010], [-2.351, -1.788, 4.343]],
  "species": ["Si", "Os", "Os", "Bi", "Bi"],
  "fractional_positions": [[0.000, 0.000, 0.000], [0.000, 0.318, 0.318], [0.000, 0.682, 0.682], [0.500, 0.250, 0.750], [0.500, 0.750, 0.250]],
  "magmom_total_mub_per_atom": 0.00,
  "e_tot_ev_per_atom": -6.90,
  "rho_g_cm3": 12.83,
  "raw_formation_energy_ev_per_atom": 0.85
}

(8)
{
  "formula": "SiBiOs3",
  "functional": "PBEsol",
  "state": "optimized geometry",
  "lattice_angstrom": [[4.465, 0.000, 0.000], [0.000, 4.465, 0.000], [0.000, 0.000, 4.465]],
  "species": ["Os", "Si", "Os", "Os", "Bi"],
  "fractional_positions": [[0.500, 0.000, 0.000], [0.000, 0.000, 0.000], [0.000, 0.500, 0.000], [0.000, 0.000, 0.500], [0.500, 0.500, 0.500]],
  "magmom_total_mub_per_atom": 0.00,
  "e_tot_ev_per_atom": -8.17,
  "rho_g_cm3": 15.06,
  "raw_formation_energy_ev_per_atom": 1.17
}

(9)
{
  "formula": "SiBi3Os",
  "functional": "PBEsol",
  "state": "optimized geometry",
  "lattice_angstrom": [[-0.996, 3.877, -3.222], [-4.381, 0.959, 2.508], [2.494, 3.234, 3.120]],
  "species": ["Bi", "Bi", "Bi", "Si", "Os"],
  "fractional_positions": [[0.000, 0.000, 0.500], [0.000, 0.500, 0.000], [0.500, 0.000, 0.000], [0.000, 0.000, 0.000], [0.500, 0.500, 0.500]],
  "magmom_total_mub_per_atom": 0.24,
  "e_tot_ev_per_atom": -4.50,
  "rho_g_cm3": 10.34,
  "raw_formation_energy_ev_per_atom": 1.67
}

(10)
{
  "formula": "SrBiOs3",
  "functional": "PBEsol",
  "state": "optimized geometry",
  "lattice_angstrom": [[4.826, 0.000, 0.000], [0.000, 4.826, 0.000], [0.000, 0.000, 4.826]],
  "species": ["Os", "Os", "Bi", "Sr", "Os"],
  "fractional_positions": [[0.500, 0.000, 0.000], [0.000, 0.000, 0.500], [0.500, 0.500, 0.500], [0.000, 0.000, 0.000], [0.000, 0.500, 0.000]],
  "magmom_total_mub_per_atom": 0.00,
  "e_tot_ev_per_atom": -5.21,
  "rho_g_cm3": 12.82,
  "delta_e_f_ev_per_atom": 3.35
}

(11)
{
  "formula": "Tc3BiOs",
  "functional": "PBEsol",
  "state": "optimized geometry",
  "lattice_angstrom": [[4.777, 0.000, 0.000], [0.000, 4.777, 0.000], [0.000, 0.000, 4.777]],
  "species": ["Os", "Tc", "Bi", "Tc", "Tc"],
  "fractional_positions": [[0.500, 0.500, 0.500], [0.000, 0.500, 0.000], [0.000, 0.000, 0.000], [0.500, 0.000, 0.000], [0.000, 0.000, 0.500]],
  "magmom_total_mub_per_atom": 0.47,
  "e_tot_ev_per_atom": -6.83,
  "rho_g_cm3": 10.56,
  "delta_e_f_ev_per_atom": 3.23
}

(12)
{
  "formula": "ZnBiOs2",
  "functional": "PBEsol",
  "state": "optimized geometry",
  "lattice_angstrom": [[-2.332, 3.483, -1.604], [-4.485, -0.041, 0.152], [-2.175, 2.733, 2.818]],
  "species": ["Os", "Zn", "Bi", "Os"],
  "fractional_positions": [[0.250, 0.250, 0.250], [0.000, 0.000, 0.000], [0.500, 0.500, 0.500], [0.750, 0.750, 0.750]],
  "magmom_total_mub_per_atom": 0.00,
  "e_tot_ev_per_atom": -6.82,
  "rho_g_cm3": 17.01,
  "delta_e_f_ev_per_atom": 0.76
}